Record 1
# HfIn2Cl

HfIn2Cl after structural relaxation (PBE, the Alexandria database).

Summary:
Final energy, eV per atom: -4.078
Energy above the most stable polymorph in this dataset, eV/atom: 0.182
Space-group type: Fm-3m
Formation energy (no corrections), eV/atom: 0.24

a = 5.1920 Å, b = 5.1920 Å, c = 5.1920 Å
α = 60.00°, β = 60.00°, γ = 60.00°
Closest atoms and distances in Å follow each position.
Positions (direct):
Cl: 0.0000 0.0000 0.0000  8 In 3.18
In: 0.2500 0.2500 0.2500  4 Hf 3.18, 4 Cl 3.18
In: 0.7500 0.7500 0.7500  4 Hf 3.18, 4 Cl 3.18
Hf: 0.5000 0.5000 0.5000  8 In 3.18

***

Record 2
# HfIn3Cl7

HfIn3Cl7 after structural relaxation (PBE, the Alexandria database).

Summary:
Final energy, eV per atom: -4.137
Space-group type: Cm
Formation energy (no corrections), eV/atom: -1.31

a = 7.2449 Å, b = 7.2449 Å, c = 8.3290 Å
α = 67.05°, β = 67.05°, γ = 80.52°
Closest atoms and distances in Å follow each position.
Positions (direct):
In: 0.5084 0.5084 0.9333  2 Cl 2.90-3.22
In: 0.2293 0.8019 0.4809  1 Cl 2.81
In: 0.8019 0.2293 0.4809  1 Cl 2.81
Cl: 0.8442 0.8442 0.8533  1 Hf 2.47
Cl: 0.1764 0.1764 0.0814  1 Hf 2.45
Cl: 0.3347 0.9621 0.7359  1 Hf 2.49
Cl: 0.6832 0.0620 0.1970  1 Hf 2.45
Cl: 0.9621 0.3347 0.7359  1 Hf 2.49
Cl: 0.0620 0.6832 0.1970  1 Hf 2.45
Cl: 0.5147 0.5147 0.5814  3 In 2.81-2.90
Hf: 0.0079 0.0079 0.9730  6 Cl 2.45-2.49